Entry 1:
{"formula": "Y2NpGa6", "functional": "PBE", "state": "relaxed", "delta_e_f_ev_per_fu": -4.16, "final_energy_ev_per_atom": -5.354, "vol_a3_per_atom": 20.6, "mass_density_g_cm3": 7.5, "lattice": [[3.722, 0.000, 0.000], [0.000, 6.564, -3.789], [0.000, 0.000, 7.579]], "species": ["Y", "Y", "Np", "Ga", "Ga", "Ga", "Ga", "Ga", "Ga"], "fractional_positions": [[0.000, 0.333, 0.667], [0.000, 0.667, 0.333], [0.000, 0.000, 0.000], [0.500, 0.333, 0.333], [0.500, 0.667, 0.667], [0.500, 0.000, 0.667], [0.500, 0.667, 0.000], [0.500, 0.333, 0.000], [0.500, 0.000, 0.333]]}

***

Entry 2:
{"formula": "Y8Er4Tm3", "functional": "PBE", "state": "relaxed", "delta_e_f_ev_per_fu": 6.15, "final_energy_ev_per_atom": -5.148, "polymorph_energy_ev_per_atom": 0.247, "vol_a3_per_atom": 32.9, "mass_density_g_cm3": 6.3, "lattice": [[6.705, -0.106, -0.152], [-3.196, 8.587, 1.152], [-3.196, -1.901, 8.453]], "species": ["Y", "Y", "Y", "Y", "Y", "Y", "Y", "Y", "Er", "Er", "Er", "Er", "Tm", "Tm", "Tm"], "fractional_positions": [[0.526, 0.266, 0.266], [0.000, 0.643, 0.357], [0.006, 0.267, 0.267], [0.500, 0.750, 0.250], [0.500, 0.250, 0.750], [0.994, 0.733, 0.733], [0.000, 0.357, 0.643], [0.474, 0.734, 0.734], [0.500, 0.000, 0.000], [0.000, 0.500, 0.000], [0.000, 0.000, 0.000], [0.000, 0.000, 0.500], [0.500, 0.500, 0.000], [0.500, 0.000, 0.500], [0.500, 0.500, 0.500]]}

***

Entry 3:
{"formula": "SrHfSi2S8", "functional": "PBE", "state": "relaxed", "final_energy_ev_per_atom": -5.465, "formation_energy_uncorrected_kj_per_mol_fu": -973, "vol_a3_per_atom": 22.8, "mass_density_g_cm3": 3.5, "lattice": [[-3.577, 3.646, 3.158], [-1.262, -5.859, -0.374], [4.808, -1.494, 7.170]], "species": ["Sr", "Hf", "Si", "Si", "S", "S", "S", "S", "S", "S", "S", "S"], "fractional_positions": [[0.000, 0.000, 0.000], [0.000, 0.000, 0.500], [0.667, 0.333, 0.254], [0.333, 0.667, 0.746], [0.333, 0.667, 0.987], [0.324, 0.335, 0.319], [0.665, 0.989, 0.319], [0.667, 0.333, 0.013], [0.335, 0.011, 0.681], [0.676, 0.665, 0.681], [0.989, 0.324, 0.681], [0.011, 0.676, 0.319]]}

***

Entry 4:
{"formula": "K2CuW", "functional": "PBE", "state": "relaxed", "delta_e_f_ev_per_fu": 6.53, "final_energy_ev_per_atom": -3.178, "polymorph_energy_ev_per_atom": 0.674, "vol_a3_per_atom": 28.5, "mass_density_g_cm3": 4.7, "lattice": [[-0.191, 4.584, -2.926], [1.514, -2.781, -4.425], [-4.361, -1.588, 2.841]], "species": ["Cu", "K", "K", "W"], "fractional_positions": [[0.750, 0.250, 0.500], [0.000, 0.000, 0.000], [0.250, 0.750, 0.500], [0.500, 0.500, 0.000]]}

***

Entry 5:
{"formula": "Y3BeNb", "functional": "PBE", "state": "relaxed", "delta_e_f_ev_per_fu": 4.90, "final_energy_ev_per_atom": -5.658, "polymorph_energy_ev_per_atom": 0.298, "vol_a3_per_atom": 31.0, "mass_density_g_cm3": 3.9, "lattice": [[-3.688, -2.907, 2.612], [3.460, -0.758, 4.041], [-1.818, 4.455, 2.392]], "species": ["Y", "Y", "Y", "Be", "Nb"], "fractional_positions": [[0.000, 0.500, 0.000], [0.000, 0.000, 0.500], [0.500, 0.000, 0.000], [0.500, 0.500, 0.500], [0.000, 0.000, 0.000]]}

***

Entry 6:
{"formula": "UPa2Te", "functional": "PBE", "state": "relaxed", "final_energy_ev_per_atom": -8.628, "formation_energy_uncorrected_kj_per_mol_fu": -105, "polymorph_energy_ev_per_atom": 0.000, "vol_a3_per_atom": 23.2, "mass_density_g_cm3": 14.8, "lattice": [[-4.161, 0.182, -1.596], [-0.406, -4.510, 0.543], [-1.592, 0.652, 4.224]], "species": ["Te", "Pa", "Pa", "U"], "fractional_positions": [[0.500, 0.000, 0.000], [0.000, 0.000, 0.500], [0.000, 0.500, 0.000], [0.500, 0.500, 0.500]]}